{"formula": "Mg2ScPb4", "functional": "GGA-PBE", "state": "optimized geometry", "mass_density_g_cm3": 7.87, "crystal_system": "tetragonal", "dos_at_fermi_per_ev_fu": 3.48, "ef_ev_per_atom": -0.1123, "final_energy_ev_per_atom": -3.59, "e_above_lowest_polymorph_mev_per_atom": 0, "lattice_angstrom": [[-3.586, 3.586, 3.785], [3.586, -3.586, 3.785], [3.586, 3.586, -3.785]], "species": ["Mg", "Mg", "Sc", "Pb", "Pb", "Pb", "Pb"], "frac_coords": [[0.000, 0.500, 0.500], [0.500, 0.000, 0.500], [0.000, 0.000, 0.000], [0.000, 0.000, 0.500], [0.000, 0.500, 0.000], [0.500, 0.000, 0.000], [0.500, 0.500, 0.500]]}